## Ho6Er12Al (PBE)

Data for a geometry-optimized Ho6Er12Al structure.

The structure in POSCAR format:
```
Ho6Er12Al
1.0
-3.8289 -2.7202 6.8908
3.8536 -7.3747 -0.5542
6.2737 2.7179 4.7746
Ho Er Al
6 12 1
Direct
0.2580 0.0952 0.7093 Ho
0.0952 0.7093 0.2580 Ho
0.2908 0.7420 0.9048 Ho
0.7093 0.2580 0.0952 Ho
0.9048 0.2908 0.7420 Ho
0.7420 0.9048 0.2908 Ho
0.8196 0.6393 0.9858 Er
0.0142 0.1804 0.3607 Er
0.7812 0.5384 0.4359 Er
0.5641 0.2188 0.4616 Er
0.1804 0.3607 0.0142 Er
0.3607 0.0142 0.1804 Er
0.6393 0.9858 0.8196 Er
0.5384 0.4359 0.7812 Er
0.4616 0.5641 0.2188 Er
0.9858 0.8196 0.6393 Er
0.4359 0.7812 0.5384 Er
0.2188 0.4616 0.5641 Er
0.0000 0.0000 0.0000 Al
```

Calculated formation energy = 1.786 eV per formula unit
Crystal system = trigonal